[1]
PBE UGaTc, relaxed; DOS(E_F) = 4.24 states/eV per cell; crystal system = tetragonal; total magnetic moment = 1.27 μB per formula unit; E above lowest polymorph = 78 meV/atom; calculated formation energy = -0.12 eV/atom
1.0
-0.4057 2.0799 -2.3234
-0.0189 -2.3446 -2.0956
-5.2477 -0.3167 2.7610
U Tc Ga
1 1 1
direct
0.3167 0.3167 0.6335 U
0.6584 0.6584 0.3168 Tc
0.0248 0.0248 0.0497 Ga

[2]
PBE U2Ga3Tc4, relaxed; DOS(E_F) = 8.26 states/eV per cell; crystal system = monoclinic; total magnetic moment = 0.00 μB per formula unit; calculated formation energy = -0.21 eV/atom
1.0
4.5441 0.0000 0.0000
-2.2720 4.2649 0.6441
0.0000 0.8683 8.3052
U Ga Tc
2 3 4
direct
0.2634 0.5267 0.2004 U
0.7366 0.4733 0.7996 U
0.3470 0.6939 0.5520 Ga
0.0000 0.0000 0.0000 Ga
0.6530 0.3061 0.4480 Ga
0.5470 0.0940 0.1489 Tc
0.0196 0.0392 0.6541 Tc
0.9804 0.9608 0.3459 Tc
0.4530 0.9060 0.8511 Tc

[3]
PBE U4Ga12Tc, relaxed; DOS(E_F) = 27.82 states/eV per cell; crystal system = cubic; total magnetic moment = 7.69 μB per formula unit; calculated formation energy = -0.25 eV/atom
1.0
7.4399 0.0000 0.0000
-2.4800 7.0144 0.0000
-2.4800 -3.5072 6.0747
U Ga Tc
4 12 1
direct
0.0000 0.0000 0.5000 U
0.5000 0.0000 0.0000 U
0.5000 0.5000 0.5000 U
0.0000 0.5000 0.0000 U
0.0000 0.2923 0.2923 Ga
0.0000 0.7077 0.7077 Ga
0.7077 0.7077 0.0000 Ga
0.2923 0.2923 0.0000 Ga
0.2923 0.0000 0.2923 Ga
0.7077 0.0000 0.7077 Ga
0.5000 0.2500 0.7500 Ga
0.5000 0.7500 0.2500 Ga
0.7500 0.2500 0.5000 Ga
0.2500 0.7500 0.5000 Ga
0.7500 0.5000 0.2500 Ga
0.2500 0.5000 0.7500 Ga
0.0000 0.0000 0.0000 Tc